[1]
## CsZr3Sn5 (PBE)

Data for crystalline CsZr3Sn5 at its relaxed geometry.

Lattice parameters (Å, degrees): 6.1586 6.1586 7.7757 90.00 90.00 120.00
Last column: nearest neighbours and their distance in Å.
Fractional positions:
1 Cs 0.0000 0.0000 0.0000  14 Sn 3.84-3.89
2 Sn 0.6667 0.3333 0.1870  1 Sn 2.91, 3 Zr 3.01
3 Sn 0.3333 0.6667 0.1870  1 Sn 2.91, 3 Zr 3.01
4 Sn 0.0000 0.0000 0.5000  6 Zr 3.08
5 Sn 0.6667 0.3333 0.8130  1 Sn 2.91, 3 Zr 3.01
6 Sn 0.3333 0.6667 0.8130  1 Sn 2.91, 3 Zr 3.01
7 Zr 0.5000 0.0000 0.5000  6 Sn 3.01-3.08, 4 Zr 3.08
8 Zr 0.0000 0.5000 0.5000  6 Sn 3.01-3.08, 4 Zr 3.08
9 Zr 0.5000 0.5000 0.5000  6 Sn 3.01-3.08, 4 Zr 3.08

## Properties
**Space group**: P6/mmm

[2]
## CsZrSn (PBE)

Data for crystalline CsZrSn at its relaxed geometry.

Lattice parameters (Å, degrees): 5.2723 5.2723 5.2723 60.00 60.00 60.00
Last column: nearest neighbours and their distance in Å.
Fractional positions:
1 Cs 0.2500 0.2500 0.2500  4 Zr 3.23
2 Sn 0.7500 0.7500 0.7500  4 Zr 3.23
3 Zr 0.0000 0.0000 0.0000  4 Cs 3.23, 4 Sn 3.23

## Properties
**Relative energy among the computed polymorphs**: 0.0000 eV per atom
**Space group**: F-43m

[3]
## CsSrTa (PBE)

Data for crystalline CsSrTa at its relaxed geometry.

Lattice parameters (Å, degrees): 5.7703 5.7703 5.7703 60.00 60.00 60.00
Last column: nearest neighbours and their distance in Å.
Fractional positions:
1 Cs 0.0000 0.0000 0.0000  4 Sr 3.53, 4 Ta 3.53
2 Sr 0.2500 0.2500 0.2500  4 Cs 3.53
3 Ta 0.7500 0.7500 0.7500  4 Cs 3.53

## Properties
**Relative energy among the computed polymorphs**: 0.4043 eV per atom
**Space group**: F-43m

[4]
## CsSrZrTe3 (PBE)

Data for crystalline CsSrZrTe3 at its relaxed geometry.

Lattice parameters (Å, degrees): 8.8742 8.8742 12.8329 90.00 90.00 148.80
Last column: nearest neighbours and their distance in Å.
Fractional positions:
1 Cs 0.7385 0.2615 0.2500  6 Te 3.95-4.03
2 Cs 0.2615 0.7385 0.7500  6 Te 3.95-4.03
3 Sr 0.0000 0.0000 0.0000  6 Te 3.34-3.36
4 Sr 0.0000 0.0000 0.5000  6 Te 3.34-3.36
5 Te 0.3716 0.6284 0.0693  1 Zr 2.77
6 Te 0.0541 0.9458 0.2500  2 Zr 2.88
7 Te 0.3716 0.6284 0.4307  1 Zr 2.77
8 Te 0.6284 0.3716 0.5693  1 Zr 2.77
9 Te 0.9458 0.0541 0.7500  2 Zr 2.88
10 Te 0.6284 0.3716 0.9307  1 Zr 2.77
11 Zr 0.4598 0.5402 0.2500  4 Te 2.77-2.88
12 Zr 0.5402 0.4598 0.7500  4 Te 2.77-2.88

## Properties
**Space group**: Cmcm

[5]
## CsSrTm (PBE)

Data for crystalline CsSrTm at its relaxed geometry.

Lattice parameters (Å, degrees): 6.5082 6.5082 6.5082 60.00 60.00 60.00
Last column: nearest neighbours and their distance in Å.
Fractional positions:
1 Cs 0.2500 0.2500 0.2500  4 Tm 3.99
2 Sr 0.7500 0.7500 0.7500  4 Tm 3.99
3 Tm 0.0000 0.0000 0.0000  4 Sr 3.99, 4 Cs 3.99

## Properties
**Relative energy among the computed polymorphs**: 0.0000 eV per atom
**Space group**: F-43m

[6]
## CsSrTm (PBE)

Data for crystalline CsSrTm at its relaxed geometry.

Lattice parameters (Å, degrees): 6.0727 6.0727 6.0727 60.00 60.00 60.00
Last column: nearest neighbours and their distance in Å.
Fractional positions:
1 Cs 0.0000 0.0000 0.0000  4 Tm 3.72, 4 Sr 3.72
2 Sr 0.7500 0.7500 0.7500  4 Cs 3.72
3 Tm 0.2500 0.2500 0.2500  4 Cs 3.72

## Properties
**Relative energy among the computed polymorphs**: 0.1187 eV per atom
**Space group**: F-43m

Electronic total energy, record by record: -5.421; -3.722; -2.602; -4.515; -1.384; -1.265 eV/atom
Spin magnetization, record by record: 0.0; 0.9; 4.0; 1.6; 2.1; 0.0 Bohr magnetons per cell